First-principles (GGA-PBE) data for a relaxed ScAl2Si crystal, as listed in Alexandria.

## Properties
DOS(E_F): 0.64 states/eV/atom
total magnetic moment: 0.00 μB/f.u.
raw total energy: -4.89 eV per atom
raw formation energy: -0.078 eV/atom

abc: 3.1052 3.1052 26.0416
angles: 90.00 90.00 120.00
Space group R3m (No. 160, hexagonal axes)
Asymmetric unit:
Sc (0.0000, 0.0000, 0.0000) x3
Al (0.0000, 0.0000, 0.5084) x3
Al (0.0000, 0.0000, 0.7584) x3
Si (0.0000, 0.0000, 0.2499) x3